w.
A plane-wave DFT calculation with PBEsol was carried out for a relaxed Sr2MnCo crystal.

Lattice parameters (Å, degrees): 3.8255 5.0995 5.0996 90.00 90.00 90.00
Last column: nearest neighbours and their distance in Å.
Sites, in units of the cell vectors:
Co (0.5000, 0.0000, 0.5000)  8 Sr 3.19
Mn (0.5000, 0.5000, 0.0000)  8 Sr 3.19
Sr (0.0000, 0.0000, 0.0000)  4 Mn 3.19, 4 Co 3.19
Sr (0.0000, 0.5000, 0.5000)  4 Co 3.19, 4 Mn 3.19

Output
ρ, g/cm³: 4.83

=====

x.
A plane-wave DFT calculation with PBEsol was carried out for a relaxed Sr2MnCo crystal.

Lattice parameters (Å, degrees): 3.7536 3.7536 9.3051 78.36 78.36 60.00
Last column: nearest neighbours and their distance in Å.
Sites, in units of the cell vectors:
Co (0.5000, 0.5000, 0.5000)  6 Sr 2.91
Mn (0.0000, 0.0000, 0.0000)  6 Sr 3.37, 6 Mn 3.75
Sr (0.2381, 0.2381, 0.2856)  3 Co 2.91
Sr (0.7619, 0.7619, 0.7144)  3 Co 2.91

Output
ρ, g/cm³: 4.35

=====

Which one is most stable, and which one is least stable? w is the most stable of them, while x is the least stable.

=====

w.
A plane-wave DFT calculation with PBEsol was carried out for a relaxed Ta2MnCo crystal.

Lattice parameters (Å, degrees): 3.0301 3.0299 6.0387 90.00 90.00 90.00
Last column: nearest neighbours and their distance in Å.
Sites, in units of the cell vectors:
Mn (0.5000, 0.5000, 0.5000)  8 Ta 2.61
Co (0.5000, 0.5000, 0.0000)  8 Ta 2.63
Ta (0.0002, 0.0000, 0.7482)  4 Mn 2.61, 4 Co 2.63
Ta (0.9998, 0.0000, 0.2518)  4 Mn 2.61, 4 Co 2.63

Output
ρ, g/cm³: 14.25

=====

x.
A plane-wave DFT calculation with PBEsol was carried out for a relaxed Ta2MnCo crystal.

Lattice parameters (Å, degrees): 4.2845 4.2845 4.2845 60.00 60.00 60.00
Last column: nearest neighbours and their distance in Å.
Sites, in units of the cell vectors:
Mn (0.0000, 0.0000, 0.0000)  8 Ta 2.62
Co (0.5000, 0.5000, 0.5000)  8 Ta 2.62
Ta (0.2500, 0.2500, 0.2500)  4 Co 2.62, 4 Mn 2.62
Ta (0.7500, 0.7500, 0.7500)  4 Mn 2.62, 4 Co 2.62

Output
ρ, g/cm³: 14.21

=====

Which one is most stable, and which one is least stable? w is the most stable of them, while x is the least stable.

=====

w.
A plane-wave DFT calculation with PBEsol was carried out for a relaxed MnCoTe crystal.

Lattice parameters (Å, degrees): 3.4035 3.3960 4.5184 112.07 112.12 90.00
Last column: nearest neighbours and their distance in Å.
Sites, in units of the cell vectors:
Co (0.9938, 0.9938, 0.9876)  5 Te 2.50-2.75, 5 Mn 2.64-2.68
Mn (0.3389, 0.3389, 0.6778)  5 Te 2.51-2.74, 5 Co 2.64-2.68
Te (0.6673, 0.6673, 0.3346)  5 Co 2.50-2.75, 5 Mn 2.51-2.74

Output
ρ, g/cm³: 9.07

=====

x.
A plane-wave DFT calculation with PBEsol was carried out for a relaxed MnCoTe crystal.

Lattice parameters (Å, degrees): 4.0773 4.0773 4.0773 60.00 60.00 60.00
Last column: nearest neighbours and their distance in Å.
Sites, in units of the cell vectors:
Te (0.5000, 0.5000, 0.5000)  4 Co 2.50
Co (0.7500, 0.7500, 0.7500)  4 Mn 2.50, 4 Te 2.50
Mn (0.0000, 0.0000, 0.0000)  4 Co 2.50

Output
ρ, g/cm³: 8.37

=====

Which one is most stable, and which one is least stable? x is the most stable of them, while w is the least stable.

=====

w.
A plane-wave DFT calculation with PBEsol was carried out for a relaxed MnTl2Co crystal.

Lattice parameters (Å, degrees): 3.2274 4.6456 5.1905 102.67 90.00 110.33
Last column: nearest neighbours and their distance in Å.
Sites, in units of the cell vectors:
Co (0.0000, 0.0000, 0.5000)  6 Tl 2.72-2.81
Mn (0.5000, 0.0000, 0.0000)  6 Tl 2.76-2.84, 4 Co 3.06
Tl (0.7422, 0.4844, 0.7394)  3 Co 2.72-2.81, 3 Mn 2.76-2.84, 2 Tl 2.99
Tl (0.2578, 0.5156, 0.2606)  3 Co 2.72-2.81, 3 Mn 2.76-2.84, 2 Tl 2.99

Output
ρ, g/cm³: 12.23

=====

x.
A plane-wave DFT calculation with PBEsol was carried out for a relaxed MnTl2Co crystal.

Lattice parameters (Å, degrees): 3.1112 3.1112 9.1412 80.20 80.20 60.00
Last column: nearest neighbours and their distance in Å.
Sites, in units of the cell vectors:
Co (0.5106, 0.5106, 0.4683)  3 Mn 2.40
Mn (0.2362, 0.2362, 0.2914)  3 Co 2.40
Tl (0.9887, 0.9887, 0.0338)  3 Mn 2.93, 6 Tl 3.11
Tl (0.7645, 0.7645, 0.7065)  3 Co 2.79, 6 Tl 3.11

Output
ρ, g/cm³: 11.55

=====

y.
A plane-wave DFT calculation with PBEsol was carried out for a relaxed MnTl2Co crystal.

Lattice parameters (Å, degrees): 4.5633 4.5632 4.5681 119.96 119.97 90.00
Last column: nearest neighbours and their distance in Å.
Sites, in units of the cell vectors:
Co (0.5000, 0.0000, 0.0000)  8 Tl 2.80
Mn (0.0000, 0.5000, 0.0000)  8 Tl 2.80
Tl (0.7500, 0.7500, 0.4999)  4 Co 2.80, 4 Mn 2.80
Tl (0.2500, 0.2500, 0.5001)  4 Co 2.80, 4 Mn 2.80

Output
ρ, g/cm³: 12.89

=====

Which one is most stable, and which one is least stable? x is the most stable of them, while w is the least stable.

=====

w.
A plane-wave DFT calculation with PBEsol was carried out for a relaxed Mn2CoW crystal.

Lattice parameters (Å, degrees): 3.5842 3.5842 4.4382 113.82 113.82 90.00
Last column: nearest neighbours and their distance in Å.
Sites, in units of the cell vectors:
Co (0.2500, 0.7500, 0.5000)  8 Mn 2.53-2.56, 4 W 2.56
Mn (0.0000, 0.0000, 0.0000)  4 W 2.53, 4 Mn 2.56, 4 Co 2.56
Mn (0.7500, 0.2500, 0.5000)  4 Co 2.53, 4 Mn 2.56, 4 W 2.56
W (0.5000, 0.5000, 0.0000)  8 Mn 2.53-2.56, 4 Co 2.56

Output
ρ, g/cm³: 12.51

=====

x.
A plane-wave DFT calculation with PBEsol was carried out for a relaxed Mn2CoW crystal.

Lattice parameters (Å, degrees): 3.1251 3.9939 4.6401 115.49 109.68 90.00
Last column: nearest neighbours and their distance in Å.
Sites, in units of the cell vectors:
Co (0.0000, 0.5000, 0.0000)  4 Mn 2.47, 4 W 2.54
Mn (0.7467, 0.7467, 0.4935)  2 Co 2.47, 4 W 2.51-2.77, 4 Mn 2.54
Mn (0.2533, 0.2533, 0.5065)  2 Co 2.47, 4 W 2.51-2.77, 4 Mn 2.54
W (0.5000, 0.0000, 0.0000)  8 Mn 2.51-2.77, 4 Co 2.54

Output
ρ, g/cm³: 12.07

=====

Which one is most stable, and which one is least stable? w is the most stable of them, while x is the least stable.

=====

w.
A plane-wave DFT calculation with PBEsol was carried out for a relaxed MnCo2W crystal.

Lattice parameters (Å, degrees): 3.5616 3.5616 3.5940 90.00 90.00 90.00
Last column: nearest neighbours and their distance in Å.
Sites, in units of the cell vectors:
Mn (0.5000, 0.5000, 0.5000)  4 W 2.52, 8 Co 2.53
Co (0.0000, 0.5000, 0.0000)  4 Co 2.52, 4 Mn 2.53, 4 W 2.53
Co (0.5000, 0.0000, 0.0000)  4 Co 2.52, 4 Mn 2.53, 4 W 2.53
W (0.0000, 0.0000, 0.5000)  4 Mn 2.52, 8 Co 2.53

Output
ρ, g/cm³: 12.99

=====

x.
A plane-wave DFT calculation with PBEsol was carried out for a relaxed MnCo2W crystal.

Lattice parameters (Å, degrees): 3.5590 3.5590 4.3890 113.92 113.92 90.00
Last column: nearest neighbours and their distance in Å.
Sites, in units of the cell vectors:
Mn (0.0000, 0.0000, 0.0000)  4 W 2.52, 8 Co 2.53
Co (0.2500, 0.7500, 0.5000)  4 Co 2.52, 4 W 2.53, 4 Mn 2.53
Co (0.7500, 0.2500, 0.5000)  4 Co 2.52, 4 W 2.53, 4 Mn 2.53
W (0.5000, 0.5000, 0.0000)  4 Mn 2.52, 8 Co 2.53

Output
ρ, g/cm³: 13.00

=====

Which one is most stable, and which one is least stable? w is the most stable of them, while x is the least stable.

=====

w.
A plane-wave DFT calculation with PBEsol was carried out for a relaxed CoNiMo2 crystal.

Lattice parameters (Å, degrees): 2.6096 4.2060 4.5682 90.00 90.00 90.00
Last column: nearest neighbours and their distance in Å.
Sites, in units of the cell vectors:
Ni (0.5000, 0.0000, 0.5390)  8 Mo 2.57-2.69, 2 Co 2.58, 2 Ni 2.61
Mo (0.0000, 0.0000, 0.0542)  4 Ni 2.57-2.69, 4 Co 2.58, 4 Mo 2.61-2.67
Mo (0.0000, 0.5000, 0.6945)  4 Co 2.56-2.70, 4 Ni 2.57, 4 Mo 2.61-2.67
Co (0.5000, 0.5000, 0.2123)  8 Mo 2.56-2.70, 2 Ni 2.58, 2 Co 2.61

Output
ρ, g/cm³: 10.25

=====

x.
A plane-wave DFT calculation with PBEsol was carried out for a relaxed CoNiMo2 crystal.

Lattice parameters (Å, degrees): 2.6174 4.5172 4.5172 109.59 90.00 90.00
Last column: nearest neighbours and their distance in Å.
Sites, in units of the cell vectors:
Ni (0.5000, 0.5000, 0.5000)  2 Co 2.60, 8 Mo 2.61, 2 Ni 2.62
Mo (0.0000, 0.0000, 0.5000)  4 Mo 2.60-2.62, 4 Ni 2.61, 4 Co 2.61
Mo (0.0000, 0.5000, 0.0000)  4 Mo 2.60-2.62, 4 Co 2.61, 4 Ni 2.61
Co (0.5000, 0.0000, 0.0000)  2 Ni 2.60, 8 Mo 2.61, 2 Co 2.62

Output
ρ, g/cm³: 10.21

=====

y.
A plane-wave DFT calculation with PBEsol was carried out for a relaxed CoNiMo2 crystal.

Lattice parameters (Å, degrees): 2.6117 3.6916 5.2135 90.00 90.01 90.00
Last column: nearest neighbours and their distance in Å.
Sites, in units of the cell vectors:
Ni (0.5000, 0.5000, 0.0000)  2 Co 2.61, 2 Ni 2.61, 8 Mo 2.62
Mo (0.9999, 0.0000, 0.7460)  4 Mo 2.57-2.65, 4 Co 2.60, 4 Ni 2.62
Mo (0.0001, 0.0000, 0.2540)  4 Mo 2.57-2.65, 4 Co 2.60, 4 Ni 2.62
Co (0.5000, 0.5000, 0.5000)  8 Mo 2.60, 2 Ni 2.61, 2 Co 2.61

Output
ρ, g/cm³: 10.22

=====

Which one is most stable, and which one is least stable? w is the most stable of them, while x is the least stable.

=====

w.
A plane-wave DFT calculation with PBEsol was carried out for a relaxed CoNiMo2 crystal.

Lattice parameters (Å, degrees): 3.6937 3.6937 4.5240 114.09 114.09 90.00
Last column: nearest neighbours and their distance in Å.
Sites, in units of the cell vectors:
Ni (0.5000, 0.5000, 0.0000)  4 Co 2.61, 8 Mo 2.61
Mo (0.7500, 0.2500, 0.5000)  4 Mo 2.61, 4 Co 2.61, 4 Ni 2.61
Mo (0.2500, 0.7500, 0.5000)  4 Mo 2.61, 4 Co 2.61, 4 Ni 2.61
Co (0.0000, 0.0000, 0.0000)  4 Ni 2.61, 8 Mo 2.61

Output
ρ, g/cm³: 10.20

=====

x.
A plane-wave DFT calculation with PBEsol was carried out for a relaxed CoNiMo2 crystal.

Lattice parameters (Å, degrees): 3.6942 3.6942 3.6885 90.00 90.00 90.00
Last column: nearest neighbours and their distance in Å.
Sites, in units of the cell vectors:
Ni (0.5000, 0.5000, 0.5000)  8 Mo 2.61, 4 Co 2.61
Mo (0.0000, 0.5000, 0.0000)  4 Co 2.61, 4 Ni 2.61, 4 Mo 2.61
Mo (0.5000, 0.0000, 0.0000)  4 Co 2.61, 4 Ni 2.61, 4 Mo 2.61
Co (0.0000, 0.0000, 0.5000)  8 Mo 2.61, 4 Ni 2.61

Output
ρ, g/cm³: 10.21

=====

Which one is most stable, and which one is least stable? x is the most stable of them, while w is the least stable.